Y2UMnO8, relaxed, DFT PBE with a Hubbard U; E = -8.725 eV/atom; volume = 165.7 Å³/f.u.; M_tot = 3.0 μB/f.u.
1.0
4.9858 0.0000 0.0000
0.0000 6.6679 0.0000
-0.2017 0.0000 4.9834
Y U Mn O
2 1 1 8
Direct
0.0000 0.2350 0.0000
0.0000 0.7650 0.0000
0.5000 0.5000 0.5000
0.5000 0.0000 0.5000
0.2070 0.5000 0.2045
0.2246 0.0000 0.2234
0.3235 0.2405 0.6750
0.3235 0.7595 0.6750
0.6765 0.2405 0.3250
0.6765 0.7595 0.3250
0.7754 0.0000 0.7766
0.7930 0.5000 0.7955